# PuTi2Zn PBE optimized geometry
data_PuTi2Zn
_cell_length_a 4.654
_cell_length_b 4.654
_cell_length_c 4.654
_cell_angle_alpha 60.00
_cell_angle_beta 60.00
_cell_angle_gamma 60.00
_space_group_name_H-M_alt 'P 1'
_space_group_IT_number 1
loop_
_space_group_symop_operation_xyz
'x,y,z'
loop_
_atom_site_label
_atom_site_type_symbol
_atom_site_fract_x
_atom_site_fract_y
_atom_site_fract_z
_atom_site_occupancy
Zn1 Zn 0.000 0.000 0.000 1
Ti1 Ti 0.250 0.250 0.250 1
Pu1 Pu 0.500 0.500 0.500 1
Ti2 Ti 0.750 0.750 0.750 1
# ΔH_f (0 K) = 0.100 eV/atom
# energy = -7.749 eV per atom
# SG = Fm-3m (225)
# ΔE to the lowest computed polymorph = 109 meV/atom